# 1
Below is PrGd2Mg3InGa2 after structural relaxation, with properties calculated at the PBE level.

The structure in extended XYZ format:
```
9
Lattice="4.609 0.000 0.000 0.000 6.473 3.702 0.000 -6.473 3.702" Properties=species:S:1:pos:R:3 pbc="T T T"
Pr 0.000 0.000 0.000
Gd 0.000 -2.820 2.560
Gd 0.000 2.820 2.560
Mg 2.305 0.000 2.332
Mg 2.305 -1.620 5.084
Mg 2.305 1.620 5.084
In 0.000 0.000 4.134
Ga 2.305 -4.280 4.172
Ga 2.305 4.280 4.172
```

Output
space-group type = Amm2
final energy = -31.73 eV for the cell shown

---

# 2
Below is Tb2GdMg3InGa2 after structural relaxation, with properties calculated at the PBE level.

The structure in extended XYZ format:
```
9
Lattice="4.568 0.000 0.000 0.000 6.375 3.674 0.000 -6.375 3.674" Properties=species:S:1:pos:R:3 pbc="T T T"
Tb 0.000 -3.589 3.674
Tb 0.000 3.589 3.674
Gd 0.000 0.000 4.817
Mg 2.284 -1.593 2.522
Mg 2.284 1.593 2.522
Mg 2.284 0.000 7.119
In 0.000 0.000 1.599
Ga 2.284 -2.130 5.280
Ga 2.284 2.130 5.280
```

Output
space-group type = Amm2
final energy = -31.57 eV for the cell shown

---

# 3
Below is Gd2InGaPt4 after structural relaxation, with properties calculated at the PBE level.

The structure in extended XYZ format:
```
8
Lattice="4.500 0.000 0.000 -2.250 3.898 0.000 0.000 0.000 9.153" Properties=species:S:1:pos:R:3 pbc="T T T"
Gd 0.000 2.598 2.331
Gd 2.250 1.299 6.822
In 0.000 0.000 0.000
Ga 0.000 0.000 4.576
Pt 0.000 2.598 5.334
Pt 0.000 2.598 8.289
Pt 2.250 1.299 0.863
Pt 2.250 1.299 3.819
```

Output
space-group type = P-3m1
final energy = -47.22 eV for the cell shown

---

# 4
Below is Gd2Zn2InGa after structural relaxation, with properties calculated at the PBE level.

The structure in extended XYZ format:
```
6
Lattice="4.551 0.000 0.000 -2.275 3.941 0.000 0.000 0.000 7.314" Properties=species:S:1:pos:R:3 pbc="T T T"
Gd 0.000 0.000 0.000
Gd 0.000 0.000 3.553
Zn 0.000 2.627 2.053
Zn 2.275 1.314 5.812
In 0.000 2.627 5.239
Ga 2.275 1.314 1.542
```

Output
space-group type = P3m1
final energy = -20.72 eV for the cell shown

---

# 5
Below is Gd2Ga8Ir after structural relaxation, with properties calculated at the PBE level.

The structure in extended XYZ format:
```
11
Lattice="4.325 0.000 0.000 0.000 4.325 0.000 0.000 0.000 11.200" Properties=species:S:1:pos:R:3 pbc="T T T"
Gd 0.000 0.000 2.159
Gd 0.000 0.000 9.041
Ga 0.000 2.162 0.000
Ga 0.000 2.162 4.234
Ga 0.000 2.162 6.966
Ga 2.162 0.000 0.000
Ga 2.162 0.000 4.234
Ga 2.162 0.000 6.966
Ga 2.162 2.162 2.159
Ga 2.162 2.162 9.041
Ir 0.000 0.000 5.600
```

Output
space-group type = P4/mmm
final energy = -48.49 eV for the cell shown

---

# 6
Below is GdGa2Ir2 after structural relaxation, with properties calculated at the PBE level.

The structure in extended XYZ format:
```
10
Lattice="4.237 0.000 0.000 0.000 4.237 0.000 0.000 0.000 10.089" Properties=species:S:1:pos:R:3 pbc="T T T"
Gd 0.000 0.000 0.000
Gd 2.118 2.118 5.045
Ga 0.000 0.000 3.804
Ga 0.000 0.000 6.285
Ga 2.118 2.118 1.241
Ga 2.118 2.118 8.848
Ir 0.000 2.118 2.522
Ir 0.000 2.118 7.567
Ir 2.118 0.000 2.522
Ir 2.118 0.000 7.567
```

Output
space-group type = I4/mmm
offset from the most stable computed form = 21 meV/atom
final energy = -63.84 eV for the cell shown

---

# 7
Below is GdGa2Ir2 after structural relaxation, with properties calculated at the PBE level.

The structure in extended XYZ format:
```
10
Lattice="4.237 0.000 0.000 0.000 4.237 0.000 0.000 0.000 10.271" Properties=species:S:1:pos:R:3 pbc="T T T"
Gd 1.059 1.059 2.431
Gd 3.178 3.178 7.840
Ga 1.059 1.059 8.958
Ga 1.059 3.178 5.135
Ga 3.178 1.059 5.135
Ga 3.178 3.178 1.313
Ir 1.059 1.059 6.504
Ir 1.059 3.178 0.000
Ir 3.178 1.059 0.000
Ir 3.178 3.178 3.767
```

Output
space-group type = P4/nmm
offset from the most stable computed form = 0 meV/atom
final energy = -64.06 eV for the cell shown

---

# 8
Below is Gd3Mg3Ga2Ir after structural relaxation, with properties calculated at the PBE level.

The structure in extended XYZ format:
```
9
Lattice="7.304 0.000 0.000 -3.652 6.326 0.000 0.000 0.000 4.376" Properties=species:S:1:pos:R:3 pbc="T T T"
Gd -1.474 2.553 0.000
Gd 2.948 0.000 0.000
Gd 2.178 3.772 0.000
Mg -2.788 4.829 2.188
Mg 0.864 1.497 2.188
Mg 5.576 0.000 2.188
Ga 0.000 4.217 2.188
Ga 3.652 2.109 2.188
Ir 0.000 0.000 0.000
```

Output
space-group type = P-62m
final energy = -38.30 eV for the cell shown

---

# 9
Below is Gd3Mg3GaIrPt after structural relaxation, with properties calculated at the PBE level.

The structure in extended XYZ format:
```
9
Lattice="7.536 0.000 0.000 -3.768 6.526 0.000 0.000 0.000 4.035" Properties=species:S:1:pos:R:3 pbc="T T T"
Gd -0.680 2.310 0.000
Gd -1.427 5.960 0.000
Gd 2.107 4.782 0.000
Mg 1.929 2.156 2.018
Mg 4.705 0.592 2.018
Mg 4.670 3.778 2.018
Ga 0.000 0.000 2.018
Ir 0.000 4.351 2.018
Pt 3.768 2.175 0.000
```

Output
space-group type = P-6
final energy = -42.86 eV for the cell shown

---

# 10
Below is NdGdGa4Ir2 after structural relaxation, with properties calculated at the PBE level.

The structure in extended XYZ format:
```
16
Lattice="6.786 0.000 0.000 0.000 4.390 0.000 0.000 0.000 10.288" Properties=species:S:1:pos:R:3 pbc="T T T"
Nd 0.000 0.000 0.000
Nd 0.000 2.195 5.144
Gd 3.393 0.000 8.559
Gd 3.393 2.195 3.415
Ga 1.332 0.000 2.895
Ga 1.332 2.195 8.038
Ga 2.089 0.000 5.692
Ga 2.089 2.195 0.548
Ga 4.697 0.000 5.692
Ga 4.697 2.195 0.548
Ga 5.454 0.000 2.895
Ga 5.454 2.195 8.038
Ir 0.000 0.000 7.363
Ir 0.000 2.195 2.219
Ir 3.393 0.000 1.227
Ir 3.393 2.195 6.371
```

Output
space-group type = Amm2
final energy = -89.95 eV for the cell shown

---

# 11
Below is GdTmGa4Ir2 after structural relaxation, with properties calculated at the PBE level.

The structure in extended XYZ format:
```
16
Lattice="6.710 0.000 0.000 0.000 4.336 0.000 0.000 0.000 10.081" Properties=species:S:1:pos:R:3 pbc="T T T"
Gd 0.000 0.000 0.000
Gd 0.000 2.168 5.040
Tm 3.355 0.000 1.707
Tm 3.355 2.168 6.747
Ga 1.322 0.000 7.229
Ga 1.322 2.168 2.189
Ga 2.053 0.000 4.534
Ga 2.053 2.168 9.574
Ga 4.657 0.000 4.534
Ga 4.657 2.168 9.574
Ga 5.388 0.000 7.229
Ga 5.388 2.168 2.189
Ir 0.000 0.000 2.888
Ir 0.000 2.168 7.928
Ir 3.355 0.000 8.877
Ir 3.355 2.168 3.837
```

Output
space-group type = Amm2
final energy = -89.86 eV for the cell shown

---

# 12
Below is GdZnGa2Ir after structural relaxation, with properties calculated at the PBE level.

The structure in extended XYZ format:
```
10
Lattice="4.109 0.000 0.000 0.000 4.109 0.000 0.000 0.000 10.820" Properties=species:S:1:pos:R:3 pbc="T T T"
Gd 0.000 0.000 0.000
Gd 2.054 2.054 5.410
Zn 0.000 2.054 2.705
Zn 2.054 0.000 8.115
Ga 0.000 0.000 4.159
Ga 0.000 0.000 6.661
Ga 2.054 2.054 1.251
Ga 2.054 2.054 9.569
Ir 0.000 2.054 8.115
Ir 2.054 0.000 2.705
```

Output
space-group type = I-4m2
final energy = -46.88 eV for the cell shown

---

# 13
Below is KGdGa after structural relaxation, with properties calculated at the PBE level.

The structure in extended XYZ format:
```
12
Lattice="7.229 0.000 0.000 0.000 7.229 0.000 0.000 0.000 7.229" Properties=species:S:1:pos:R:3 pbc="T T T"
K 0.000 0.000 0.000
K 0.000 3.614 3.614
K 3.614 0.000 3.614
K 3.614 3.614 0.000
Gd 1.807 1.807 1.807
Gd 1.807 5.422 5.422
Gd 5.422 1.807 5.422
Gd 5.422 5.422 1.807
Ga 1.807 1.807 5.422
Ga 1.807 5.422 1.807
Ga 5.422 1.807 1.807
Ga 5.422 5.422 5.422
```

Output
space-group type = F-43m
final energy = -25.72 eV for the cell shown

---

# 14
Below is KGdGa4Pt2 after structural relaxation, with properties calculated at the PBE level.

The structure in extended XYZ format:
```
16
Lattice="7.015 0.000 0.000 0.000 4.342 0.000 0.000 0.000 10.549" Properties=species:S:1:pos:R:3 pbc="T T T"
K 0.000 0.000 0.000
K 0.000 2.171 5.274
Gd 3.507 0.000 8.961
Gd 3.507 2.171 3.687
Ga 1.386 0.000 2.955
Ga 1.386 2.171 8.229
Ga 2.164 0.000 6.014
Ga 2.164 2.171 0.739
Ga 4.851 0.000 6.014
Ga 4.851 2.171 0.739
Ga 5.629 0.000 2.955
Ga 5.629 2.171 8.229
Pt 0.000 0.000 7.595
Pt 0.000 2.171 2.320
Pt 3.507 0.000 1.410
Pt 3.507 2.171 6.684
```

Output
space-group type = Amm2
final energy = -69.14 eV for the cell shown

---

# 15
Below is KGdGaTe3 after structural relaxation, with properties calculated at the PBE level.

The structure in extended XYZ format:
```
12
Lattice="2.408 -7.632 0.000 2.408 7.632 0.000 0.000 0.000 11.778" Properties=species:S:1:pos:R:3 pbc="T T T"
K 2.408 3.870 8.833
K 2.408 -3.870 2.944
Gd 0.000 0.000 0.000
Gd 0.000 0.000 5.889
Ga 2.408 0.316 2.944
Ga 2.408 -0.316 8.833
Te 2.408 6.584 2.944
Te 2.408 1.965 0.723
Te 2.408 1.965 5.166
Te 2.408 -1.965 6.611
Te 2.408 -1.965 11.055
Te 2.408 -6.584 8.833
```

Output
space-group type = Cmcm
final energy = -47.72 eV for the cell shown

---

# 16
Below is LaGdGa5 after structural relaxation, with properties calculated at the PBE level.

The structure in extended XYZ format:
```
7
Lattice="4.431 0.000 0.000 0.000 4.431 0.000 0.000 0.000 8.384" Properties=species:S:1:pos:R:3 pbc="T T T"
La 0.000 0.000 0.000
Gd 0.000 0.000 4.192
Ga 0.000 2.215 2.187
Ga 0.000 2.215 6.197
Ga 2.215 0.000 2.187
Ga 2.215 0.000 6.197
Ga 2.215 2.215 0.000
```

Output
space-group type = P4/mmm
final energy = -27.29 eV for the cell shown

---

# 17
Below is LaGdGa2 after structural relaxation, with properties calculated at the PBE level.

The structure in extended XYZ format:
```
8
Lattice="4.176 0.000 0.000 0.000 4.460 0.000 0.000 0.000 11.297" Properties=species:S:1:pos:R:3 pbc="T T T"
La 0.000 0.000 0.000
La 0.000 2.230 5.648
Gd 2.088 0.000 3.158
Gd 2.088 2.230 8.807
Ga 0.000 0.000 8.104
Ga 0.000 2.230 2.456
Ga 2.088 0.000 6.502
Ga 2.088 2.230 0.853
```

Output
space-group type = Amm2
final energy = -36.07 eV for the cell shown

---

# 18
Below is LaGdGa6 after structural relaxation, with properties calculated at the PBE level.

The structure in extended XYZ format:
```
8
Lattice="6.458 0.000 0.000 -3.229 5.593 0.000 0.000 0.000 4.565" Properties=species:S:1:pos:R:3 pbc="T T T"
La 0.000 0.000 0.000
Gd 0.000 3.728 2.283
Ga 1.847 1.067 2.283
Ga 3.229 0.232 0.000
Ga 1.815 2.680 0.000
Ga 4.610 1.067 2.283
Ga 3.229 3.459 2.283
Ga 4.642 2.680 0.000
```

Output
space-group type = P-6m2
final energy = -32.35 eV for the cell shown

---

# 19
Below is LaGd2Mg3TlGa2 after structural relaxation, with properties calculated at the PBE level.

The structure in extended XYZ format:
```
9
Lattice="4.616 0.000 0.000 0.000 6.526 3.717 0.000 -6.526 3.717" Properties=species:S:1:pos:R:3 pbc="T T T"
La 0.000 0.000 0.000
Gd 0.000 -2.826 4.835
Gd 0.000 2.826 4.835
Mg 2.308 -1.638 2.313
Mg 2.308 1.638 2.313
Mg 2.308 0.000 5.091
Tl 0.000 0.000 3.291
Ga 2.308 -4.294 3.228
Ga 2.308 4.294 3.228
```

Output
space-group type = Amm2
final energy = -31.33 eV for the cell shown

---

# 20
Below is LaGdGa4Ni2 after structural relaxation, with properties calculated at the PBE level.

The structure in extended XYZ format:
```
16
Lattice="4.141 0.000 0.000 0.000 4.189 0.000 0.000 0.000 17.593" Properties=species:S:1:pos:R:3 pbc="T T T"
La 0.000 0.000 0.000
La 0.000 2.094 8.797
Gd 0.000 0.000 12.624
Gd 0.000 2.094 3.828
Ga 0.000 0.000 6.266
Ga 0.000 2.094 15.063
Ga 2.071 0.000 2.663
Ga 2.071 0.000 10.038
Ga 2.071 0.000 15.058
Ga 2.071 2.094 1.242
Ga 2.071 2.094 6.261
Ga 2.071 2.094 11.460
Ni 2.071 0.000 5.009
Ni 2.071 0.000 7.602
Ni 2.071 2.094 13.806
Ni 2.071 2.094 16.399
```

Output
space-group type = Amm2
final energy = -75.89 eV for the cell shown